{
  "formula": "Cs3RbFe2F9",
  "functional": "PBE with a Hubbard U",
  "state": "relaxed",
  "energy_ev_per_atom": -4.74,
  "n_ef_per_ev_atom": 0.401,
  "lattice": [[6.371, 0.000, 0.000], [-3.185, 5.517, 0.000], [0.000, 0.000, 8.045]],
  "species": ["Cs", "Cs", "Cs", "Rb", "Fe", "Fe", "F", "F", "F", "F", "F", "F", "F", "F", "F"],
  "frac_coords": [[0.000, 0.000, 0.000], [0.333, 0.667, 0.669], [0.667, 0.333, 0.331], [0.000, 0.000, 0.500], [0.333, 0.667, 0.145], [0.667, 0.333, 0.855], [0.000, 0.500, 0.000], [0.186, 0.372, 0.284], [0.186, 0.814, 0.284], [0.372, 0.186, 0.716], [0.500, 0.000, 0.000], [0.500, 0.500, 0.000], [0.628, 0.814, 0.284], [0.814, 0.186, 0.716], [0.814, 0.628, 0.716]]
}